A plane-wave DFT calculation with PBE was carried out for a relaxed structure of Np4Ga16Co3.

Calculated values
Total magnetization, μB/cell: 15.4
Calculated formation energy, eV per atom: -0.2804
Energy, eV/cell: -127.96

Structure (extended XYZ):
```
23
Lattice="6.041 0.000 0.000 0.000 6.041 0.000 0.000 0.000 11.060" Properties=species:S:1:pos:R:3 pbc="T T T"
Np 0.000 3.020 2.132
Np 0.000 3.020 8.928
Np 3.020 0.000 2.132
Np 3.020 0.000 8.928
Ga 0.000 0.000 2.207
Ga 0.000 0.000 8.854
Ga 1.333 1.333 0.000
Ga 1.333 4.708 0.000
Ga 1.506 1.506 4.236
Ga 1.506 1.506 6.824
Ga 1.506 4.535 4.236
Ga 1.506 4.535 6.824
Ga 3.020 3.020 2.415
Ga 3.020 3.020 8.645
Ga 4.535 1.506 4.236
Ga 4.535 1.506 6.824
Ga 4.535 4.535 4.236
Ga 4.535 4.535 6.824
Ga 4.708 1.333 0.000
Ga 4.708 4.708 0.000
Co 0.000 3.020 5.530
Co 3.020 0.000 5.530
Co 3.020 3.020 0.000
```